1.
KNa2O | PBE-GGA | optimized geometry

a = 7.2151 Å, b = 7.2151 Å, c = 10.1638 Å
α = 90.00°, β = 90.00°, γ = 90.00°
Closest atoms and distances in Å follow each position.
Space group I4_1/amd (No. 141, origin choice 2)
Asymmetric unit:
K 0.0000 0.2500 0.3750 [4 per cell]  12 Na 4.22-4.23, 4 K 4.41, 4 O 4.41
Na 0.0000 0.0000 0.0000 [8 per cell]  2 O 2.21
O 0.0000 0.2500 0.8750 [4 per cell]  4 Na 2.21

Calculated values
Electronic total energy in eV/atom: -2.8834
E_form (uncorrected) in eV/atom: -0.710
Spin magnetization in μB per atom: 0.0000



2.
HgGeSbH2 | PBE-GGA | optimized geometry

a = 4.0263 Å, b = 4.0263 Å, c = 5.7187 Å
α = 90.00°, β = 90.00°, γ = 90.00°
Closest atoms and distances in Å follow each position.
Space group P4/mmm (No. 123)
Asymmetric unit:
Hg 0.0000 0.0000 0.0000 [1 per cell]  4 Ge 2.85
Ge 0.5000 0.5000 0.0000 [1 per cell]  4 Hg 2.85, 2 Sb 2.86
Sb 0.5000 0.5000 0.5000 [1 per cell]  4 H 2.01
H 0.0000 0.5000 0.5000 [2 per cell]  2 Sb 2.01

Calculated values
Electronic total energy in eV/atom: -2.8037
Spin magnetization in μB per atom: 0.0000



3.
Sr2YTa | PBE-GGA | optimized geometry

a = 3.5160 Å, b = 4.9190 Å, c = 18.2535 Å
α = 90.00°, β = 90.00°, γ = 90.00°
Closest atoms and distances in Å follow each position.
Space group Immm (No. 71)
Asymmetric unit:
Sr 0.0000 0.0000 0.1611 [4 per cell]  2 Ta 3.43, 2 Sr 3.52, 2 Y 3.83
Y 0.0000 0.5000 0.0000 [2 per cell]  4 Ta 3.02
Ta 0.0000 0.5000 0.5000 [2 per cell]  4 Y 3.02

Calculated values
Distance to the lowest polymorph of the same formula in meV per atom: 175
Electronic total energy in eV/atom: -4.6936
Energy relative to the elements in eV/atom: 0.73
Spin magnetization in μB per atom: 0.2856



4.
DyYHo4S8 | PBE-GGA | optimized geometry

a = 8.0191 Å, b = 8.0191 Å, c = 19.6689 Å
α = 90.00°, β = 90.00°, γ = 120.00°
Closest atoms and distances in Å follow each position.
Space group R3m (No. 160, hexagonal axes)
Asymmetric unit:
Dy 0.0000 0.0000 0.0000 [3 per cell]  4 S 2.61
Y 0.0000 0.0000 0.6252 [3 per cell]  6 S 2.77
Ho 0.0000 0.0000 0.2505 [3 per cell]  4 S 2.60
Ho 0.0003 0.5002 0.1254 [9 per cell]  6 S 2.75
S 0.0000 0.0000 0.3830 [3 per cell]  4 Ho 2.60-2.75
S 0.0000 0.0000 0.8671 [3 per cell]  1 Dy 2.61, 3 Ho 2.75
S 0.0196 0.5098 0.3786 [9 per cell]  1 Dy 2.61, 2 Ho 2.75, 1 Y 2.77
S 0.1758 0.3516 0.2055 [9 per cell]  3 Ho 2.60-2.75, 1 Y 2.77

Calculated values
Electronic total energy in eV/atom: -6.3894
E_form (uncorrected) in eV/atom: -1.933
Spin magnetization in μB per atom: 0.0000